A plane-wave DFT calculation with GGA-PBE was carried out for a relaxed Mg2ReNi crystal.

Calculated values
* calculated formation energy: 0.41 eV per atom

a b c (Å): 3.952 3.952 7.788
angles (deg): 90.00 90.00 90.00
Space group I-4m2 (No. 119)
One atom of each set of equivalent atoms:
Mg 0.000 0.000 0.000 (multiplicity 2)
Mg 0.000 0.500 0.250 (multiplicity 2)
Re 0.000 0.000 0.500 (multiplicity 2)
Ni 0.000 0.500 0.750 (multiplicity 2)

=====

A plane-wave DFT calculation with GGA-PBE was carried out for a relaxed Mg2ReNi crystal.

Calculated values
* calculated formation energy: 0.37 eV per atom

a b c (Å): 4.671 4.671 2.819
angles (deg): 90.00 90.00 90.00
Space group P4/mmm (No. 123)
One atom of each set of equivalent atoms:
Mg 0.000 0.500 0.000 (multiplicity 2)
Re 0.000 0.000 0.500 (multiplicity 1)
Ni 0.500 0.500 0.500 (multiplicity 1)

=====

A plane-wave DFT calculation with GGA-PBE was carried out for a relaxed MgReNi6 crystal.

Calculated values
* calculated formation energy: -0.06 eV per atom

a b c (Å): 7.266 10.257 10.258
angles (deg): 90.00 90.00 90.00
Space group Cmmm (No. 65)
One atom of each set of equivalent atoms:
Mg 0.000 0.000 0.250 (multiplicity 4)
Mg 0.000 0.248 0.000 (multiplicity 4)
Re 0.000 0.245 0.500 (multiplicity 4)
Re 0.000 0.500 0.242 (multiplicity 4)
Ni 0.000 0.000 0.000 (multiplicity 2)
Ni 0.000 0.000 0.500 (multiplicity 2)
Ni 0.000 0.254 0.257 (multiplicity 8)
Ni 0.000 0.500 0.000 (multiplicity 2)
Ni 0.000 0.500 0.500 (multiplicity 2)
Ni 0.243 0.373 0.378 (multiplicity 16)
Ni 0.245 0.377 0.129 (multiplicity 16)

=====

A plane-wave DFT calculation with GGA-PBE was carried out for a relaxed Mg2ReNi crystal.

Calculated values
* calculated formation energy: 0.35 eV per atom

a b c (Å): 2.856 4.564 4.648
angles (deg): 90.00 90.00 90.00
Space group Pmmm (No. 47)
One atom of each set of equivalent atoms:
Mg 0.000 0.000 0.000 (multiplicity 1)
Mg 0.500 0.000 0.500 (multiplicity 1)
Re 0.000 0.500 0.500 (multiplicity 1)
Ni 0.500 0.500 0.000 (multiplicity 1)

=====

A plane-wave DFT calculation with GGA-PBE was carried out for a relaxed Mg2ReNi crystal.

Calculated values
* calculated formation energy: 0.14 eV per atom

a b c (Å): 3.451 4.117 8.476
angles (deg): 90.00 90.00 90.00
Space group Cmmm (No. 65)
One atom of each set of equivalent atoms:
Mg 0.000 0.000 0.229 (multiplicity 4)
Re 0.000 0.500 0.500 (multiplicity 2)
Ni 0.000 0.500 0.000 (multiplicity 2)

=====

A plane-wave DFT calculation with GGA-PBE was carried out for a relaxed MgRe2Ni crystal.

Calculated values
* calculated formation energy: 0.11 eV per atom

a b c (Å): 11.049 2.712 4.371
angles (deg): 90.00 113.14 90.00
Space group C2/m (No. 12)
One atom of each set of equivalent atoms:
Mg 0.000 0.000 0.000 (multiplicity 2)
Re 0.211 0.000 0.711 (multiplicity 4)
Ni 0.000 0.500 0.500 (multiplicity 2)

=====

Q: The highest calculated formation energy belongs to which entry?
A: number 1